VASP calculation (PBE) on a geometry-optimized EuDyAlPd structure.

Cell lengths 7.2663, 7.2663, 7.2663 Å; angles 90.00, 90.00, 90.00 degrees
Closest atoms and distances in Å follow each position.
Space group F-43m (No. 216)
Symmetry-distinct sites (fractional):
1 Eu 0.0000 0.0000 0.0000 (multiplicity 4)  4 Al 3.15, 4 Pd 3.15
2 Dy 0.0000 0.0000 0.5000 (multiplicity 4)  4 Pd 3.15, 4 Al 3.15
3 Al 0.2500 0.2500 0.7500 (multiplicity 4)  4 Dy 3.15, 4 Eu 3.15
4 Pd 0.2500 0.2500 0.2500 (multiplicity 4)  4 Dy 3.15, 4 Eu 3.15

Computed properties:
The formation energy from the elements comes out at -447 meV per atom. The total magnetic moment is 6.9 μB/f.u.